TeAu3Cl | SCAN | single point on PBEsol structure

abc: 5.1246 5.1246 5.1246
angles: 90.00 90.00 90.00
Fractional positions:
Te  0.0000  0.0000  0.0000
Au  0.0000  0.0000  0.5000
Au  0.0000  0.5000  0.0000
Au  0.5000  0.0000  0.0000
Cl  0.5000  0.5000  0.5000

Results
Its energy is -50.2350 eV per atom. As for the total magnetization: 0.00 μB/cell.